NaAg3PNO3: relaxed, PBE-GGA.

The value obtained for the uncorrected energy is -4.86 eV/atom.

It has space group P2_1 (No. 4), with a = 6.919 Å, b = 6.023 Å, c = 6.933 Å, α = 90.00°, β = 119.73° and γ = 90.00°. The inequivalent atoms are Na at (0.005, 0.000, 0.000), Ag at (0.129, 0.763, 0.711), Ag at (0.289, 0.765, 0.418), Ag at (0.418, 0.268, 0.130), P at (0.332, 0.287, 0.667), N at (0.332, 0.024, 0.666), O at (0.183, 0.385, 0.767), O at (0.234, 0.386, 0.421) and O at (0.421, 0.886, 0.185).